{
  "formula": "TcC2",
  "functional": "PBE-GGA",
  "state": "optimized geometry",
  "de_polymorph_ev_per_atom": 1.716,
  "m_tot_mub_per_atom": 0.00,
  "final_energy_ev_per_atom": -7.43,
  "cell": [[-0.281, 1.421, 2.959], [2.565, -1.965, -0.647], [1.448, 2.191, -0.915]],
  "species": ["C", "C", "Tc"],
  "frac_coords": [[0.333, 0.667, 0.500], [0.667, 0.333, 0.500], [0.000, 0.000, 0.000]]
}



{
  "formula": "TcC",
  "functional": "PBE-GGA",
  "state": "optimized geometry",
  "de_polymorph_ev_per_atom": 0.379,
  "m_tot_mub_per_atom": 0.00,
  "final_energy_ev_per_atom": -9.20,
  "cell": [[8.684, 0.000, 0.000], [0.000, 2.902, 0.000], [0.000, 0.000, 6.146]],
  "species": ["Tc", "Tc", "Tc", "Tc", "Tc", "Tc", "C", "C", "C", "C", "C", "C"],
  "frac_coords": [[0.500, 0.452, 0.109], [0.723, 0.928, 0.879], [0.277, 0.928, 0.879], [0.223, 0.072, 0.379], [0.777, 0.072, 0.379], [0.000, 0.548, 0.609], [0.243, 0.503, 0.635], [0.500, 0.946, 0.865], [0.743, 0.497, 0.135], [0.257, 0.497, 0.135], [0.757, 0.503, 0.635], [0.000, 0.054, 0.365]]
}